# 1
AlInB2 | PBE | optimized geometry

Lattice parameters (Å, degrees): 4.2488 4.2488 4.2488 60.00 60.00 60.00
Fractional positions:
B 0.7500 0.7500 0.7500
B 0.2500 0.2500 0.2500
Al 0.0000 0.0000 0.0000
In 0.5000 0.5000 0.5000

## Properties
The total energy is -3.697 eV/atom. As for the excess energy over the best structure of this formula in the dataset: 477.9 meV/atom.

---

# 2
Ce2TaZnN5 | PBE | optimized geometry

Lattice parameters (Å, degrees): 3.2970 6.9716 10.2167 90.00 90.00 103.68
Fractional positions:
N 0.0608 0.1217 0.0619
N 0.5031 0.0063 0.2775
N 0.7168 0.4335 0.1496
N 0.4969 0.9937 0.7775
N 0.9392 0.8783 0.5619
N 0.3001 0.6002 0.3727
N 0.6411 0.2822 0.5085
N 0.6999 0.3998 0.8727
N 0.2832 0.5665 0.6496
N 0.3589 0.7178 0.0085
Ce 0.1301 0.2603 0.2936
Ce 0.8699 0.7397 0.7936
Ce 0.8885 0.7770 0.1844
Ce 0.1115 0.2230 0.6844
Zn 0.4819 0.9638 0.4728
Zn 0.5181 0.0362 0.9728
Ta 0.2074 0.4148 0.0029
Ta 0.7926 0.5852 0.5029

## Properties
The total energy is -8.388 eV/atom. As for the uncorrected formation energy: -22.74 kcal/mol of atoms.

---

# 3
HoEr3Co8 | PBE | optimized geometry

Lattice parameters (Å, degrees): 5.0393 5.0393 8.7349 73.23 73.23 60.00
Each line ends with the local moment (μB).
Fractional positions:
Co 0.1875 0.1875 0.4376  1.13
Co 0.4369 0.9375 0.6880  1.14
Co 0.9375 0.4369 0.6880  1.14
Co 0.9379 0.4376 0.1870  1.14
Co 0.6875 0.6875 0.9375  1.14
Co 0.9375 0.9375 0.6880  1.14
Co 0.4376 0.9379 0.1870  1.14
Co 0.4376 0.4376 0.1870  1.14
Ho 0.8750 0.8750 0.3750  -0.37
Er 0.3750 0.3750 0.8750  -0.38
Er 0.0000 0.0000 0.9998  -0.38
Er 0.4999 0.4999 0.5002  -0.38

## Properties
The total energy is -6.498 eV/atom.

---

# 4
Cu2Ag2Au5 | PBE | optimized geometry

Lattice parameters (Å, degrees): 4.8941 9.5822 9.2521 149.19 64.79 131.99
Fractional positions:
Au 0.7650 0.6601 0.3228
Au 0.2350 0.3399 0.6772
Au 0.4412 0.0108 0.6737
Au 0.0000 0.0000 0.0000
Au 0.5588 0.9892 0.3263
Ag 0.6634 0.3273 0.3278
Ag 0.3366 0.6727 0.6722
Cu 0.8867 0.6663 0.0027
Cu 0.1133 0.3337 0.9973

## Properties
The total energy is -3.368 eV/atom. As for the excess energy over the best structure of this formula in the dataset: 0.0 meV/atom.

---

# 5
InAg2Pd9 | PBE | optimized geometry

Lattice parameters (Å, degrees): 4.0197 4.0197 11.9752 90.00 90.00 90.00
Fractional positions:
Pd 0.0000 0.5000 0.8327
Pd 0.0000 0.5000 0.5000
Pd 0.5000 0.0000 0.5000
Pd 0.5000 0.5000 0.6656
Pd 0.5000 0.5000 0.0000
Pd 0.5000 0.5000 0.3344
Pd 0.5000 0.0000 0.8327
Pd 0.0000 0.5000 0.1673
Pd 0.5000 0.0000 0.1673
Ag 0.0000 0.0000 0.6659
Ag 0.0000 0.0000 0.3341
In 0.0000 0.0000 0.0000

## Properties
The total energy is -4.740 eV/atom.

---

# 6
Sc2CdP | PBE | optimized geometry

Lattice parameters (Å, degrees): 3.6385 3.6386 7.8933 76.73 76.73 59.96
Fractional positions:
P 0.7500 0.7500 0.7500
Sc 0.4816 0.4816 0.5544
Sc 0.0184 0.0184 0.9456
Cd 0.2500 0.2500 0.2500

## Properties
The total energy is -5.572 eV/atom. As for the excess energy over the best structure of this formula in the dataset: 0.0 meV/atom.